Entry 1:
Density functional theory data (GGA-PBE) for crystalline DyThCo2 at its relaxed geometry.

```
DyThCo2
1.0
4.807 0.000 0.000
2.404 4.163 0.000
2.404 1.388 3.925
Dy Th Co
1 1 2
Direct
0.000 0.000 0.000 Dy
0.500 0.500 0.500 Th
0.250 0.250 0.250 Co
0.750 0.750 0.750 Co
```

Results
Calculated total energy   -6.6988 eV/atom
Magnetic moment   0.001 μB per formula unit
Offset from the most stable computed form   0.1236 eV per atom
Symmetry   Fm-3m (225)
ΔH_f (0 K)   -140 meV per atom
Crystal system   cubic

***

Entry 2:
Density functional theory data (GGA-PBE) for crystalline Dy3ThCo at its relaxed geometry.

```
Dy3ThCo
1.0
5.258 0.000 0.000
0.000 5.258 0.000
0.000 0.000 5.258
Th Dy Co
1 3 1
Direct
0.500 0.500 0.500 Th
0.500 0.000 0.000 Dy
0.000 0.500 0.000 Dy
0.000 0.000 0.500 Dy
0.000 0.000 0.000 Co
```

Results
Calculated total energy   -5.5874 eV/atom
Magnetic moment   0.048 μB per formula unit
Offset from the most stable computed form   0.1475 eV per atom
Symmetry   Pm-3m (221)
ΔH_f (0 K)   79 meV per atom
Crystal system   cubic

***

Entry 3:
Density functional theory data (GGA-PBE) for crystalline Dy2ThCo at its relaxed geometry.

```
Dy2ThCo
1.0
3.644 -0.130 0.000
-1.600 6.020 0.000
0.000 0.000 9.655
Co Dy Th
2 4 2
Direct
0.754 0.507 0.250 Co
0.246 0.493 0.750 Co
0.859 0.721 0.572 Dy
0.859 0.721 0.928 Dy
0.141 0.279 0.072 Dy
0.141 0.279 0.428 Dy
0.409 0.819 0.250 Th
0.591 0.181 0.750 Th
```

Results
Calculated total energy   -6.0950 eV/atom
Magnetic moment   0.000 μB per formula unit
Offset from the most stable computed form   0.0366 eV per atom
Symmetry   P2_1/m (11)
ΔH_f (0 K)   -163 meV per atom
Crystal system   monoclinic